[1]
Hf8SnAu2 after structural relaxation, computed with PBE-GGA.

POSCAR file:
```
Hf8SnAu2
1.0
3.940 -6.685 0.000
3.940 6.685 0.000
-1.732 0.000 4.630
Hf Sn Au
8 1 2
direct
0.093 0.315 0.612 Hf
0.224 0.776 0.000 Hf
0.315 0.093 0.612 Hf
0.402 0.402 0.198 Hf
0.598 0.598 0.802 Hf
0.685 0.907 0.388 Hf
0.776 0.224 0.000 Hf
0.907 0.685 0.388 Hf
0.000 0.000 0.000 Sn
0.307 0.693 0.500 Au
0.693 0.307 0.500 Au
```

DFT total energy: -8.292 eV per atom
total magnetization: 0.000 Bohr magnetons per cell
space-group type: C2/m, No. 12
DFT formation energy: -9 kJ/mol of atoms

=====

[2]
HfSn3Au after structural relaxation, computed with PBE-GGA.

POSCAR file:
```
HfSn3Au
1.0
5.287 0.000 0.000
0.000 5.287 0.000
0.000 0.000 5.287
Hf Sn Au
1 3 1
direct
0.000 0.000 0.000 Hf
0.000 0.500 0.500 Sn
0.500 0.000 0.500 Sn
0.500 0.500 0.000 Sn
0.500 0.500 0.500 Au
```

DFT total energy: -4.349 eV per atom
total magnetization: 0.000 Bohr magnetons per cell
space-group type: Pm-3m, No. 221
DFT formation energy: 67 kJ/mol of atoms

=====

[3]
Hf12Sn6Au after structural relaxation, computed with PBE-GGA.

POSCAR file:
```
Hf12Sn6Au
1.0
6.801 3.927 2.575
-6.801 3.927 2.575
0.000 -7.853 2.575
Hf Sn Au
12 6 1
direct
0.036 0.297 0.180 Hf
0.180 0.036 0.297 Hf
0.229 0.594 0.672 Hf
0.297 0.180 0.036 Hf
0.328 0.771 0.406 Hf
0.406 0.328 0.771 Hf
0.594 0.672 0.229 Hf
0.672 0.229 0.594 Hf
0.703 0.820 0.964 Hf
0.771 0.406 0.328 Hf
0.820 0.964 0.703 Hf
0.964 0.703 0.820 Hf
0.084 0.871 0.573 Sn
0.129 0.427 0.916 Sn
0.427 0.916 0.129 Sn
0.573 0.084 0.871 Sn
0.871 0.573 0.084 Sn
0.916 0.129 0.427 Sn
0.500 0.500 0.500 Au
```

DFT total energy: -7.975 eV per atom
total magnetization: 0.000 Bohr magnetons per cell
space-group type: R-3, No. 148
DFT formation energy: -24 kJ/mol of atoms

=====

Question: The highest DFT total energy belongs to which entry?
Answer: HfSn3Au

=====

Question: What is the total magnetization in the second record?
Answer: 0.000 Bohr magnetons per cell